A geometry-optimized Cs2CoBiF6 structure. Source: Alexandria, functional PBE with a Hubbard U.

The structure in extended XYZ format:
```
10
Lattice="6.468 0.000 0.000 0.000 6.468 0.000 3.234 3.234 4.601" Properties=species:S:1:pos:R:3 pbc="T T T"
Cs 6.468 3.234 2.300
Cs 3.234 6.468 2.300
Co 3.234 3.234 0.000
Bi 0.000 0.000 0.000
F 3.234 3.234 2.306
F 6.468 6.468 2.294
F 1.623 1.623 0.000
F 4.845 4.845 0.000
F 4.845 1.623 0.000
F 1.623 4.845 0.000
```

**Total magnetic moment**: 0.20 μB/atom
**E_tot**: -4.473 eV per atom